Here is ScSeN2F after structural relaxation from the Alexandria database. Energies are from PBEsol.

Summary:
Distance to the lowest polymorph of the same formula, meV/atom: 822
Formation energy from raw total energies, eV/atom: 0.7345
Total energy, eV/atom: -5.153
Mass density, kg/m3: 3298
Space-group type: No. 123
Spin magnetization, μB/f.u.: 1.32
Crystal system: tetragonal

```
ScSeN2F
1.0
4.020 0.000 0.000
0.000 4.020 0.000
0.000 0.000 5.324
Sc Se N F
1 1 2 1
Direct
0.000 0.000 0.000
0.000 0.000 0.500
0.000 0.500 0.000
0.500 0.000 0.000
0.500 0.500 0.500
```

=====

Here is ScSiNF2 after structural relaxation from the Alexandria database. Energies are from PBEsol.

Summary:
Formation energy from raw total energies, eV/atom: -1.2986
Total energy, eV/atom: -6.245
Mass density, kg/m3: 3602
Space-group type: No. 123
Spin magnetization, μB/f.u.: 0.00
Crystal system: tetragonal

```
ScSiNF2
1.0
4.145 0.000 0.000
0.000 4.145 0.000
0.000 0.000 3.355
Sc Si N F
1 1 1 2
Direct
0.000 0.000 0.000
0.500 0.500 0.500
0.500 0.500 0.000
0.000 0.500 0.500
0.500 0.000 0.500
```

=====

Here is ScTcNF2 after structural relaxation from the Alexandria database. Energies are from PBEsol.

Summary:
Formation energy from raw total energies, eV/atom: -0.9386
Total energy, eV/atom: -6.989
Mass density, kg/m3: 5041
Space-group type: No. 123
Spin magnetization, μB/f.u.: 0.86
Crystal system: tetragonal

```
ScTcNF2
1.0
4.111 0.000 0.000
0.000 4.111 0.000
0.000 0.000 3.799
Sc Tc N F
1 1 1 2
Direct
0.000 0.000 0.000
0.500 0.500 0.500
0.500 0.500 0.000
0.000 0.500 0.500
0.500 0.000 0.500
```

=====

Q: What is the total energy in the first record?
A: -5.153 eV/atom

=====

Q: Which of these has the highest mass density?
A: ScTcNF2